First-principles (PBE) data for a geometry-optimized Tb2PrAu2 structure, as listed in the Alexandria database.

## Properties
space-group type: C2/m, No. 12
crystal system: monoclinic
formation enthalpy at 0 K: -0.539 eV per atom
DOS(E_F): 9.565 states/eV/cell
raw total energy: -23.29 eV per formula unit
ΔE to the lowest computed polymorph: 130 meV/atom
size of the total moment: 0.00 μB/f.u.

Lattice parameters (Å, degrees): 6.9770 6.9724 6.7612 90.00 120.58 90.00
Closest atoms and distances in Å follow each position.
Fractional positions:
1 Tb 0.0000 0.2501 0.0000  4 Au 2.92
2 Tb 0.0000 0.7499 0.0000  4 Au 2.92
3 Tb 0.5000 0.2499 0.0000  4 Au 2.92
4 Tb 0.5000 0.7501 0.0000  4 Au 2.92
5 Pr 0.0000 0.0000 0.5000  8 Au 3.71-3.77, 8 Tb 3.80-3.83
6 Pr 0.5000 0.5000 0.5000  8 Au 3.71-3.77, 8 Tb 3.80-3.83
7 Au 0.1184 0.5000 0.7317  1 Au 2.70, 4 Tb 2.92
8 Au 0.3816 0.0000 0.2683  1 Au 2.70, 4 Tb 2.92
9 Au 0.6184 0.0000 0.7317  1 Au 2.70, 4 Tb 2.92
10 Au 0.8816 0.5000 0.2683  1 Au 2.70, 4 Tb 2.92